No. 1
Computed, not measured: crystalline NbAl2Pd9 at its relaxed geometry at the PBE level of DFT.

Cell lengths 3.938, 3.938, 11.738 Å; angles 90.00, 90.00, 90.00 degrees
Fractional positions:
1 Nb 0.000 0.000 0.000
2 Al 0.000 0.000 0.341
3 Al 0.000 0.000 0.659
4 Pd 0.500 0.500 0.000
5 Pd 0.500 0.500 0.334
6 Pd 0.500 0.500 0.666
7 Pd 0.500 0.000 0.167
8 Pd 0.500 0.000 0.500
9 Pd 0.500 0.000 0.833
10 Pd 0.000 0.500 0.167
11 Pd 0.000 0.500 0.500
12 Pd 0.000 0.500 0.833

Summary:
**Total moment**: 0.00 Bohr magnetons per cell
**Energy relative to the elements**: -0.583 eV/atom


No. 2
Computed, not measured: crystalline Nb2AlPd2 at its relaxed geometry at the PBE level of DFT.

Cell lengths 3.675, 3.675, 7.258 Å; angles 75.34, 75.34, 90.00 degrees
Fractional positions:
1 Nb 0.750 0.250 0.500
2 Nb 0.250 0.750 0.500
3 Al 0.000 0.000 0.000
4 Pd 0.406 0.406 0.189
5 Pd 0.594 0.594 0.811

Summary:
**Total moment**: 0.00 Bohr magnetons per cell
**Energy relative to the elements**: 0.089 eV/atom


No. 3
Computed, not measured: crystalline NbAl2Pd3 at its relaxed geometry at the PBE level of DFT.

Cell lengths 2.918, 2.918, 10.686 Å; angles 90.00, 90.00, 90.00 degrees
Fractional positions:
1 Nb 0.500 0.500 0.500
2 Al 0.500 0.500 0.842
3 Al 0.500 0.500 0.158
4 Pd 0.000 0.000 0.000
5 Pd 0.000 0.000 0.693
6 Pd 0.000 0.000 0.307

Summary:
**Total moment**: 0.00 Bohr magnetons per cell
**Energy relative to the elements**: -0.681 eV/atom


No. 4
Computed, not measured: crystalline Nb2AlPd at its relaxed geometry at the PBE level of DFT.

Cell lengths 3.767, 3.767, 10.482 Å; angles 79.65, 79.65, 90.00 degrees
Fractional positions:
1 Nb 0.619 0.125 0.250
2 Nb 0.131 0.625 0.250
3 Nb 0.375 0.381 0.750
4 Nb 0.875 0.869 0.750
5 Al 0.500 0.500 0.000
6 Al 0.250 0.750 0.500
7 Pd 0.000 0.000 0.000
8 Pd 0.750 0.250 0.500

Summary:
**Total moment**: 0.00 Bohr magnetons per cell
**Energy relative to the elements**: 0.134 eV/atom


No. 5
Computed, not measured: crystalline Nb2Al2Pd at its relaxed geometry at the PBE level of DFT.

Cell lengths 6.412, 6.412, 4.076 Å; angles 90.00, 90.00, 90.00 degrees
Fractional positions:
1 Nb 0.158 0.658 0.500
2 Nb 0.658 0.842 0.500
3 Nb 0.842 0.342 0.500
4 Nb 0.342 0.158 0.500
5 Al 0.358 0.858 0.000
6 Al 0.858 0.642 0.000
7 Al 0.642 0.142 0.000
8 Al 0.142 0.358 0.000
9 Pd 0.000 0.000 0.000
10 Pd 0.500 0.500 0.000

Summary:
**Total moment**: 0.00 Bohr magnetons per cell
**Energy relative to the elements**: -0.342 eV/atom


No. 6
Computed, not measured: crystalline NbAlPd14 at its relaxed geometry at the PBE level of DFT.

Cell lengths 5.630, 5.630, 7.767 Å; angles 90.00, 90.00, 90.00 degrees
Fractional positions:
1 Nb 0.875 0.875 0.500
2 Al 0.375 0.375 0.500
3 Pd 0.875 0.875 0.000
4 Pd 0.375 0.375 0.000
5 Pd 0.875 0.375 0.500
6 Pd 0.875 0.375 0.000
7 Pd 0.375 0.875 0.500
8 Pd 0.375 0.875 0.000
9 Pd 0.624 0.126 0.258
10 Pd 0.624 0.126 0.742
11 Pd 0.126 0.624 0.258
12 Pd 0.126 0.624 0.742
13 Pd 0.624 0.624 0.258
14 Pd 0.624 0.624 0.742
15 Pd 0.126 0.126 0.258
16 Pd 0.126 0.126 0.742

Summary:
**Total moment**: 0.00 Bohr magnetons per cell
**Energy relative to the elements**: -0.279 eV/atom